Run P
This record from the Alexandria database describes an optimized crystal structure of AlI2BrN. The functional is PBE-GGA.

Values from the calculation:
For the magnetization, the calculation gives 0.00 μB/cell.

a b c (Å): 6.7651 6.7651 3.6982
angles (deg): 90.00 90.00 90.00
Last column: nearest neighbours and their distance in Å.
Space group P4/mmm (No. 123)
Unique sites:
Al  0.0000  0.0000  0.0000  2 Al 3.70, 8 I 3.85
I  0.0000  0.5000  0.5000  2 Br 3.38, 2 I 3.70
Br  0.5000  0.5000  0.5000  2 N 1.85
N  0.5000  0.5000  0.0000  2 Br 1.85



Run Q
This record from the Alexandria database describes an optimized crystal structure of AlI2BrN. The functional is PBE-GGA.

Values from the calculation:
For the magnetization, the calculation gives 0.00 μB/cell.

a b c (Å): 6.1275 6.1275 3.4598
angles (deg): 90.00 90.00 90.00
Last column: nearest neighbours and their distance in Å.
Space group P4/mmm (No. 123)
Unique sites:
Al  0.0000  0.0000  0.0000  2 N 1.73
I  0.0000  0.5000  0.0000  2 Al 3.06
Br  0.5000  0.5000  0.5000  2 Br 3.46, 8 I 3.52
N  0.0000  0.0000  0.5000  2 Al 1.73



run Q is the most stable structure; the next one sits 77.8 kJ/mol of atoms above it.



Run P
This record from the Alexandria database describes an optimized crystal structure of AlIBrO2. The functional is PBE-GGA.

Values from the calculation:
For the magnetization, the calculation gives 0.00 μB/cell.

a b c (Å): 3.8534 3.8534 6.4547
angles (deg): 90.00 90.00 90.00
Last column: nearest neighbours and their distance in Å.
Space group P4/mmm (No. 123)
Unique sites:
Al  0.0000  0.0000  0.0000  4 O 1.93
I  0.0000  0.0000  0.5000  4 Br 2.72
Br  0.5000  0.5000  0.5000  4 I 2.72
O  0.0000  0.5000  0.0000  2 Al 1.93



Run Q
This record from the Alexandria database describes an optimized crystal structure of AlIBrO2. The functional is PBE-GGA.

Values from the calculation:
For the magnetization, the calculation gives 0.00 μB/cell.

a b c (Å): 4.0281 4.0281 7.0130
angles (deg): 90.00 90.00 90.00
Last column: nearest neighbours and their distance in Å.
Space group P4/mmm (No. 123)
Unique sites:
Al  0.0000  0.0000  0.0000  4 I 2.85
I  0.5000  0.5000  0.0000  4 Al 2.85
Br  0.5000  0.5000  0.5000  4 O 2.01
O  0.0000  0.5000  0.5000  2 Br 2.01



run P is the most stable structure; the next one sits 109.7 kJ/mol of atoms above it.



Run P
This record from the Alexandria database describes an optimized crystal structure of AlSb2IBr. The functional is PBE-GGA.

Values from the calculation:
For the magnetization, the calculation gives 0.00 μB/cell.

a b c (Å): 5.6466 5.6466 5.7529
angles (deg): 90.00 90.00 90.00
Last column: nearest neighbours and their distance in Å.
Space group P4/mmm (No. 123)
Unique sites:
Al  0.0000  0.0000  0.0000  4 I 3.99, 8 Sb 4.03
Sb  0.0000  0.5000  0.5000  2 Br 2.82
I  0.5000  0.5000  0.0000  2 Br 2.88
Br  0.5000  0.5000  0.5000  4 Sb 2.82, 2 I 2.88



Run Q
This record from the Alexandria database describes an optimized crystal structure of AlSb2IBr. The functional is PBE-GGA.

Values from the calculation:
For the magnetization, the calculation gives 0.50 μB/cell.

a b c (Å): 5.4130 5.4130 5.4392
angles (deg): 90.00 90.00 90.00
Last column: nearest neighbours and their distance in Å.
Space group P4/mmm (No. 123)
Unique sites:
Al  0.0000  0.0000  0.0000  4 Sb 2.71, 2 I 2.72
Sb  0.0000  0.5000  0.0000  2 Al 2.71
I  0.0000  0.0000  0.5000  2 Al 2.72
Br  0.5000  0.5000  0.5000  4 I 3.83, 8 Sb 3.84



run Q is the most stable structure; the next one sits 58.5 kJ/mol of atoms above it.



Run P
This record from the Alexandria database describes an optimized crystal structure of AlSeIBr2. The functional is PBE-GGA.

Values from the calculation:
For the magnetization, the calculation gives 0.00 μB/cell.

a b c (Å): 5.8246 5.8246 5.4625
angles (deg): 90.00 90.00 90.00
Last column: nearest neighbours and their distance in Å.
Space group P4/mmm (No. 123)
Unique sites:
Al  0.0000  0.0000  0.0000  8 Br 3.99, 4 Se 4.12
Se  0.5000  0.5000  0.0000  2 I 2.73
I  0.5000  0.5000  0.5000  2 Se 2.73, 4 Br 2.91
Br  0.0000  0.5000  0.5000  2 I 2.91



Run Q
This record from the Alexandria database describes an optimized crystal structure of AlSeIBr2. The functional is PBE-GGA.

Values from the calculation:
For the magnetization, the calculation gives 0.00 μB/cell.

a b c (Å): 4.8714 4.8714 5.7545
angles (deg): 90.00 90.00 90.00
Last column: nearest neighbours and their distance in Å.
Space group P4/mmm (No. 123)
Unique sites:
Al  0.0000  0.0000  0.0000  4 Br 2.44
Se  0.0000  0.0000  0.5000  2 Al 2.88
I  0.5000  0.5000  0.5000  4 Se 3.44, 8 Br 3.77
Br  0.0000  0.5000  0.0000  2 Al 2.44



run Q is the most stable structure; the next one sits 54.0 kJ/mol of atoms above it.



Run P
This record from the Alexandria database describes an optimized crystal structure of AlTeI2Br. The functional is PBE-GGA.

Values from the calculation:
For the magnetization, the calculation gives 0.00 μB/cell.

a b c (Å): 5.4193 5.4193 5.6665
angles (deg): 90.00 90.00 90.00
Last column: nearest neighbours and their distance in Å.
Space group P4/mmm (No. 123)
Unique sites:
Al  0.0000  0.0000  0.0000  4 I 2.71, 2 Te 2.83
Te  0.0000  0.0000  0.5000  2 Al 2.83
I  0.0000  0.5000  0.0000  2 Al 2.71
Br  0.5000  0.5000  0.5000  4 Te 3.83, 8 I 3.92



Run Q
This record from the Alexandria database describes an optimized crystal structure of AlTeI2Br. The functional is PBE-GGA.

Values from the calculation:
For the magnetization, the calculation gives 0.00 μB/cell.

a b c (Å): 5.9030 5.9030 5.7049
angles (deg): 90.00 90.00 90.00
Last column: nearest neighbours and their distance in Å.
Space group P4/mmm (No. 123)
Unique sites:
Al  0.0000  0.0000  0.0000  8 I 4.10, 4 Te 4.17
Te  0.5000  0.5000  0.0000  2 Br 2.85
I  0.0000  0.5000  0.5000  2 Br 2.95
Br  0.5000  0.5000  0.5000  2 Te 2.85, 4 I 2.95



run P is the most stable structure; the next one sits 43.2 kJ/mol of atoms above it.



Run P
This record from the Alexandria database describes an optimized crystal structure of Al2InBr8. The functional is PBE-GGA.

Values from the calculation:
For the magnetization, the calculation gives 0.88 μB/cell.

a b c (Å): 13.1750 10.2800 6.6542
angles (deg): 90.00 96.97 90.00
Last column: nearest neighbours and their distance in Å.
Space group C2/m (No. 12)
Unique sites:
Al  0.2007  0.0000  0.1500  4 Br 2.27-2.36
In  0.0000  0.0000  0.5000  6 Br 2.97-3.01
Br  0.1103  0.1813  0.2557  1 Al 2.36
Br  0.1317  0.5000  0.7189  1 Al 2.27
Br  0.1923  0.0000  0.7944  1 Al 2.35



Run Q
This record from the Alexandria database describes an optimized crystal structure of Al2InBr8. The functional is PBE-GGA.

Values from the calculation:
For the magnetization, the calculation gives 0.00 μB/cell.

a b c (Å): 16.2086 9.4266 9.4048
angles (deg): 90.00 124.94 90.00
Last column: nearest neighbours and their distance in Å.
Space group C2/m (No. 12)
Unique sites:
Al  0.2504  0.0000  0.2488  4 Br 2.32
In  0.0000  0.0000  0.5000  8 Br 3.43-3.45
Br  0.1487  0.0000  0.3493  1 Al 2.32
Br  0.1486  0.2988  0.6513  1 Al 2.32
Br  0.1506  0.0000  0.9475  1 Al 2.32



run P is the most stable structure; the next one sits 13.0 kJ/mol of atoms above it.



Run P
This record from the Alexandria database describes an optimized crystal structure of AlInBr. The functional is PBE-GGA.

Values from the calculation:
For the magnetization, the calculation gives 0.00 μB/cell.

a b c (Å): 5.1338 5.1338 3.4281
angles (deg): 90.00 90.00 120.00
Last column: nearest neighbours and their distance in Å.
Space group P3m1 (No. 156)
Unique sites:
Al  0.0000  0.0000  0.0000  3 Br 2.96
In  0.3333  0.6667  0.5011  6 Br 3.42-3.43, 6 Al 3.42-3.43, 2 In 3.43
Br  0.6667  0.3333  0.9985  3 Al 2.96



Run Q
This record from the Alexandria database describes an optimized crystal structure of AlInBr. The functional is PBE-GGA.

Values from the calculation:
For the magnetization, the calculation gives 0.01 μB/cell.

a b c (Å): 7.3414 7.3414 7.3414
angles (deg): 90.00 90.00 90.00
Last column: nearest neighbours and their distance in Å.
Space group F-43m (No. 216)
Unique sites:
Al  0.0000  0.0000  0.0000  4 In 3.18
In  0.2500  0.2500  0.2500  4 Br 3.18, 4 Al 3.18
Br  0.0000  0.0000  0.5000  4 In 3.18



run P is the most stable structure; the next one sits 18.6 kJ/mol of atoms above it.



Run P
This record from the Alexandria database describes an optimized crystal structure of AlInBr. The functional is PBE-GGA.

Values from the calculation:
For the magnetization, the calculation gives 0.60 μB/cell.

a b c (Å): 7.2122 7.2122 7.2122
angles (deg): 90.00 90.00 90.00
Last column: nearest neighbours and their distance in Å.
Space group F-43m (No. 216)
Unique sites:
Al  0.0000  0.0000  0.0000  4 Br 3.12, 4 In 3.12
In  0.2500  0.2500  0.7500  4 Al 3.12
Br  0.2500  0.2500  0.2500  4 Al 3.12



Run Q
This record from the Alexandria database describes an optimized crystal structure of AlInBr. The functional is PBE-GGA.

Values from the calculation:
For the magnetization, the calculation gives 0.00 μB/cell.

a b c (Å): 3.4871 6.1361 15.4808
angles (deg): 90.00 90.00 90.00
Last column: nearest neighbours and their distance in Å.
Space group Fmm2 (No. 42)
Unique sites:
Al  0.0000  0.0000  0.0000  2 Br 2.58
In  0.0000  0.0000  0.6546  2 Al 2.96
Br  0.0000  0.0000  0.3771  2 Al 2.58



run Q is the most stable structure; the next one sits 24.1 kJ/mol of atoms above it.



Run P
This record from the Alexandria database describes an optimized crystal structure of Al3InBr. The functional is PBE-GGA.

Values from the calculation:
For the magnetization, the calculation gives 0.00 μB/cell.

a b c (Å): 5.3331 5.3331 5.3331
angles (deg): 90.00 90.00 90.00
Last column: nearest neighbours and their distance in Å.
Space group Pm-3m (No. 221)
Unique sites:
Al  0.0000  0.0000  0.5000  2 Br 2.67
In  0.5000  0.5000  0.5000  12 Al 3.77
Br  0.0000  0.0000  0.0000  6 Al 2.67



Run Q
This record from the Alexandria database describes an optimized crystal structure of Al3InBr. The functional is PBE-GGA.

Values from the calculation:
For the magnetization, the calculation gives 0.00 μB/cell.

a b c (Å): 5.3881 5.3881 5.3881
angles (deg): 90.00 90.00 90.00
Last column: nearest neighbours and their distance in Å.
Space group Pm-3m (No. 221)
Unique sites:
Al  0.0000  0.0000  0.5000  2 In 2.69
In  0.0000  0.0000  0.0000  6 Al 2.69
Br  0.5000  0.5000  0.5000  12 Al 3.81



run Q is the most stable structure; the next one sits 18.9 kJ/mol of atoms above it.



Run P
This record from the Alexandria database describes an optimized crystal structure of AlIn3Br6. The functional is PBE-GGA.

Values from the calculation:
For the magnetization, the calculation gives 0.00 μB/cell.

a b c (Å): 7.2828 8.5086 12.6819
angles (deg): 90.00 120.63 90.00
Last column: nearest neighbours and their distance in Å.
Space group P2_1/c (No. 14)
Unique sites:
Al  0.0000  0.0000  0.0000  6 Br 2.54-2.55
In  0.3046  0.0782  0.7661  6 Br 3.29-3.59
In  0.5000  0.0000  0.5000  6 Br 3.27-3.34
Br  0.1056  0.0579  0.2201  1 Al 2.54
Br  0.2207  0.7494  0.0680  1 Al 2.54
Br  0.3213  0.1555  0.0284  1 Al 2.55



Run Q
This record from the Alexandria database describes an optimized crystal structure of AlIn3Br6. The functional is PBE-GGA.

Values from the calculation:
For the magnetization, the calculation gives 0.00 μB/cell.

a b c (Å): 12.4623 16.4961 7.9679
angles (deg): 90.00 90.00 90.00
Last column: nearest neighbours and their distance in Å.
Space group Cmc2_1 (No. 36)
Unique sites:
Al  0.0000  0.1946  0.0000  4 Br 2.32-2.35
In  0.0000  0.4061  0.5893  4 Br 3.21-3.23
In  0.1979  0.0913  0.5651  2 Br 3.03-3.10
Br  0.0000  0.0564  0.9286  1 Al 2.35
Br  0.0000  0.2116  0.2884  1 Al 2.32
Br  0.1530  0.2522  0.8799  1 Al 2.33
Br  0.1597  0.4908  0.3223  4 In 3.03-3.23



run Q is the most stable structure; the next one sits 5.3 kJ/mol of atoms above it.



Run P
This record from the Alexandria database describes an optimized crystal structure of AlInSeBr2. The functional is PBE-GGA.

Values from the calculation:
For the magnetization, the calculation gives 0.00 μB/cell.

a b c (Å): 5.2378 5.2378 4.9355
angles (deg): 90.00 90.00 90.00
Last column: nearest neighbours and their distance in Å.
Space group P4/mmm (No. 123)
Unique sites:
Al  0.0000  0.0000  0.0000  2 Se 2.47, 4 Br 2.62
In  0.5000  0.5000  0.5000  8 Br 3.60, 4 Se 3.70
Se  0.0000  0.0000  0.5000  2 Al 2.47
Br  0.0000  0.5000  0.0000  2 Al 2.62



Run Q
This record from the Alexandria database describes an optimized crystal structure of AlInSeBr2. The functional is PBE-GGA.

Values from the calculation:
For the magnetization, the calculation gives 0.00 μB/cell.

a b c (Å): 5.4713 5.4713 5.3897
angles (deg): 90.00 90.00 90.00
Last column: nearest neighbours and their distance in Å.
Space group P4/mmm (No. 123)
Unique sites:
Al  0.0000  0.0000  0.0000  8 Br 3.84, 4 Se 3.87
In  0.5000  0.5000  0.5000  2 Se 2.69, 4 Br 2.74
Se  0.5000  0.5000  0.0000  2 In 2.69
Br  0.0000  0.5000  0.5000  2 In 2.74



run P is the most stable structure; the next one sits 39.8 kJ/mol of atoms above it.



Run P
This record from the Alexandria database describes an optimized crystal structure of Al2InTeBr. The functional is PBE-GGA.

Values from the calculation:
For the magnetization, the calculation gives 0.00 μB/cell.

a b c (Å): 5.5592 5.5592 5.9640
angles (deg): 90.00 90.00 90.00
Last column: nearest neighbours and their distance in Å.
Space group P4/mmm (No. 123)
Unique sites:
Al  0.0000  0.5000  0.0000  2 Te 2.78
In  0.0000  0.0000  0.5000  4 Br 3.93, 8 Al 4.08
Te  0.5000  0.5000  0.0000  4 Al 2.78, 2 Br 2.98
Br  0.5000  0.5000  0.5000  2 Te 2.98



Run Q
This record from the Alexandria database describes an optimized crystal structure of Al2InTeBr. The functional is PBE-GGA.

Values from the calculation:
For the magnetization, the calculation gives 0.00 μB/cell.

a b c (Å): 5.4889 5.4889 5.7670
angles (deg): 90.00 90.00 90.00
Last column: nearest neighbours and their distance in Å.
Space group P4/mmm (No. 123)
Unique sites:
Al  0.0000  0.5000  0.0000  2 Br 2.74
In  0.0000  0.0000  0.5000  4 Te 3.88, 8 Al 3.98
Te  0.5000  0.5000  0.5000  2 Br 2.88
Br  0.5000  0.5000  0.0000  4 Al 2.74, 2 Te 2.88



run P is the most stable structure; the next one sits 7.8 kJ/mol of atoms above it.